# DyHgSeO | OQMD via LeMat-Bulk | PBE | optimized geometry
data_DyHgSeO
_cell_length_a 7.539
_cell_length_b 7.067
_cell_length_c 6.863
_cell_angle_alpha 90.00
_cell_angle_beta 91.20
_cell_angle_gamma 90.00
_space_group_name_H-M_alt 'P 1'
_space_group_IT_number 1
loop_
_space_group_symop_operation_xyz
'x,y,z'
loop_
_atom_site_label
_atom_site_type_symbol
_atom_site_fract_x
_atom_site_fract_y
_atom_site_fract_z
_atom_site_occupancy
Dy1 Dy 0.052 0.143 0.191 1
Dy2 Dy 0.052 0.357 0.691 1
Dy3 Dy 0.948 0.643 0.309 1
Dy4 Dy 0.948 0.857 0.809 1
Hg1 Hg 0.484 0.191 0.008 1
Hg2 Hg 0.484 0.309 0.508 1
Hg3 Hg 0.516 0.691 0.492 1
Hg4 Hg 0.516 0.809 0.992 1
Se1 Se 0.263 0.019 0.552 1
Se2 Se 0.263 0.481 0.052 1
Se3 Se 0.737 0.519 0.948 1
Se4 Se 0.737 0.981 0.448 1
O1 O 0.051 0.655 0.606 1
O2 O 0.051 0.845 0.106 1
O3 O 0.949 0.155 0.894 1
O4 O 0.949 0.345 0.394 1
# ΔE to the lowest computed polymorph in kJ/mol of atoms: 13.8
# Calculated total energy in eV per atom: -5.08

***

# DyHgSeO | OQMD via LeMat-Bulk | PBE | optimized geometry
data_DyHgSeO
_cell_length_a 4.736
_cell_length_b 8.916
_cell_length_c 5.503
_cell_angle_alpha 90.00
_cell_angle_beta 90.00
_cell_angle_gamma 90.00
_space_group_name_H-M_alt 'P 1'
_space_group_IT_number 1
loop_
_space_group_symop_operation_xyz
'x,y,z'
loop_
_atom_site_label
_atom_site_type_symbol
_atom_site_fract_x
_atom_site_fract_y
_atom_site_fract_z
_atom_site_occupancy
Dy1 Dy 0.000 0.135 0.000 1
Dy2 Dy 0.000 0.865 0.500 1
Hg1 Hg 0.500 0.307 0.580 1
Hg2 Hg 0.500 0.693 0.080 1
Se1 Se 0.500 0.307 0.086 1
Se2 Se 0.500 0.693 0.586 1
O1 O 0.000 0.081 0.636 1
O2 O 0.000 0.919 0.136 1
# ΔE to the lowest computed polymorph in kJ/mol of atoms: 25.8
# Calculated total energy in eV per atom: -4.95

***

# DyHgSeO | OQMD via LeMat-Bulk | PBE | optimized geometry
data_DyHgSeO
_cell_length_a 5.668
_cell_length_b 5.673
_cell_length_c 11.652
_cell_angle_alpha 90.00
_cell_angle_beta 91.32
_cell_angle_gamma 90.00
_space_group_name_H-M_alt 'P 1'
_space_group_IT_number 1
loop_
_space_group_symop_operation_xyz
'x,y,z'
loop_
_atom_site_label
_atom_site_type_symbol
_atom_site_fract_x
_atom_site_fract_y
_atom_site_fract_z
_atom_site_occupancy
Dy1 Dy 0.003 0.000 0.090 1
Dy2 Dy 0.496 0.000 0.908 1
Dy3 Dy 0.504 0.500 0.092 1
Dy4 Dy 0.997 0.500 0.910 1
Hg1 Hg 0.215 0.757 0.495 1
Hg2 Hg 0.494 0.516 0.690 1
Hg3 Hg 0.506 0.016 0.310 1
Hg4 Hg 0.785 0.257 0.505 1
Se1 Se 0.187 0.205 0.721 1
Se2 Se 0.188 0.320 0.275 1
Se3 Se 0.812 0.820 0.725 1
Se4 Se 0.813 0.705 0.279 1
O1 O 0.250 0.749 0.000 1
O2 O 0.255 0.248 0.000 1
O3 O 0.745 0.748 0.000 1
O4 O 0.750 0.249 0.000 1
# ΔE to the lowest computed polymorph in kJ/mol of atoms: 0.0
# Calculated total energy in eV per atom: -5.22

***

# DyHgSeO | OQMD via LeMat-Bulk | PBE | optimized geometry
data_DyHgSeO
_cell_length_a 4.009
_cell_length_b 4.009
_cell_length_c 10.091
_cell_angle_alpha 90.00
_cell_angle_beta 90.00
_cell_angle_gamma 90.00
_space_group_name_H-M_alt 'P 1'
_space_group_IT_number 1
loop_
_space_group_symop_operation_xyz
'x,y,z'
loop_
_atom_site_label
_atom_site_type_symbol
_atom_site_fract_x
_atom_site_fract_y
_atom_site_fract_z
_atom_site_occupancy
Dy1 Dy 0.250 0.250 0.105 1
Dy2 Dy 0.750 0.750 0.895 1
Hg1 Hg 0.250 0.750 0.500 1
Hg2 Hg 0.750 0.250 0.500 1
Se1 Se 0.250 0.250 0.740 1
Se2 Se 0.750 0.750 0.260 1
O1 O 0.250 0.750 0.000 1
O2 O 0.750 0.250 0.000 1
# ΔE to the lowest computed polymorph in kJ/mol of atoms: 13.7
# Calculated total energy in eV per atom: -5.08

***

> The lowest ΔE to the lowest computed polymorph belongs to which entry?

number 3

***

> Look up the ΔE to the lowest computed polymorph of the second one.

25.8 kJ/mol of atoms

***

> The highest calculated total energy belongs to which entry?

number 2